No. 1
VASP calculation (PBE) on SnPW2 after structural relaxation.

Unit cell a=9.508 b=9.508 c=9.508 alpha=155.23 beta=155.23 gamma=35.32
Sites, in units of the cell vectors:
Sn1 0.000 0.000 0.000
Sn2 0.750 0.250 0.500
P1 0.250 0.750 0.500
P2 0.500 0.500 0.000
W1 0.186 0.625 0.061
W2 0.375 0.436 0.561
W3 0.564 0.125 0.939
W4 0.875 0.814 0.439

Output
The value obtained for the magnetization is 0.000 μB/cell. For the density, the calculation gives 11.401 Mg/m³. Its crystal system is tetragonal. For the formation energy from the elements, the calculation gives 0.67 eV per atom. The energy above the most stable polymorph in this dataset comes out at 0.105 eV/atom.

No. 2
VASP calculation (PBE) on SnPW2 after structural relaxation.

Unit cell a=4.512 b=4.512 c=4.512 alpha=60.00 beta=60.00 gamma=60.00
Sites, in units of the cell vectors:
Sn1 0.000 0.000 0.000
P1 0.500 0.500 0.500
W1 0.250 0.250 0.250
W2 0.750 0.750 0.750

Output
The value obtained for the magnetization is 0.000 μB/cell. For the density, the calculation gives 13.224 Mg/m³. Its crystal system is cubic. For the formation energy from the elements, the calculation gives 0.57 eV per atom. The energy above the most stable polymorph in this dataset comes out at 0.000 eV/atom.

No. 3
VASP calculation (PBE) on SnP3W after structural relaxation.

Unit cell a=4.826 b=4.826 c=4.826 alpha=90.00 beta=90.00 gamma=90.00
Sites, in units of the cell vectors:
Sn1 0.000 0.000 0.000
P1 0.000 0.000 0.500
P2 0.000 0.500 0.000
P3 0.500 0.000 0.000
W1 0.500 0.500 0.500

Output
The value obtained for the magnetization is 0.010 μB/cell. For the density, the calculation gives 5.844 Mg/m³. Its crystal system is cubic. For the formation energy from the elements, the calculation gives 2.08 eV per atom. The energy above the most stable polymorph in this dataset comes out at 1.622 eV/atom.